No. 1
This record from Alexandria via LeMat-Bulk describes a relaxed structure of BeFeNi3. The functional is GGA-PBEsol.

Cell lengths 3.8021, 3.8021, 3.8021 Å; angles 90.00, 90.00, 90.00 degrees
Last column: nearest neighbours and their distance in Å.
Atoms (fractional coordinates):
Ni: 0.0000 0.5000 0.0000  2 Be 1.90
Ni: 0.0000 0.0000 0.5000  2 Be 1.90
Ni: 0.5000 0.0000 0.0000  2 Be 1.90
Fe: 0.5000 0.5000 0.5000  12 Ni 2.69
Be: 0.0000 0.0000 0.0000  6 Ni 1.90

Properties
Symmetry   Pm-3m, No. 221
E_tot   -5.85 eV per atom
Total magnetization   4.390 μB/f.u.
Formation energy from the elements   441 meV per atom

***

No. 2
This record from Alexandria via LeMat-Bulk describes a relaxed structure of BaMnAl2. The functional is GGA-PBEsol.

Cell lengths 3.1332, 4.2021, 6.9743 Å; angles 90.00, 89.98, 90.00 degrees
Last column: nearest neighbours and their distance in Å.
Atoms (fractional coordinates):
Mn: 0.3752 0.5000 0.8911  6 Al 2.56-2.64
Ba: 0.3750 0.0000 0.4853  2 Ba 3.13, 4 Al 3.37
Al: 0.8749 0.0000 0.9416  4 Mn 2.64, 2 Al 2.69
Al: 0.8749 0.5000 0.1820  2 Mn 2.56, 2 Al 2.69

Properties
Symmetry   Pmm2, No. 25
E_tot   -4.84 eV per atom
Total magnetization   3.200 μB/f.u.
Formation energy from the elements   188 meV per atom

***

No. 3
This record from Alexandria via LeMat-Bulk describes a relaxed structure of Li2CaCr. The functional is GGA-PBEsol.

Cell lengths 5.0107, 5.0107, 5.0107 Å; angles 60.00, 60.00, 60.00 degrees
Last column: nearest neighbours and their distance in Å.
Atoms (fractional coordinates):
Cr: 0.5000 0.5000 0.5000  8 Li 3.07
Ca: 0.0000 0.0000 0.0000  8 Li 3.07
Li: 0.2500 0.2500 0.2500  4 Ca 3.07, 4 Cr 3.07
Li: 0.7500 0.7500 0.7500  4 Ca 3.07, 4 Cr 3.07

Properties
Symmetry   Fm-3m, No. 225
E_tot   -3.58 eV per atom
Total magnetization   4.591 μB/f.u.
E above lowest polymorph   0 meV per atom
Formation energy from the elements   494 meV per atom

***

No. 4
This record from Alexandria via LeMat-Bulk describes a relaxed structure of Nb2AlNi2. The functional is GGA-PBEsol.

Cell lengths 3.2876, 6.6241, 6.6241 Å; angles 90.00, 90.00, 90.00 degrees
Last column: nearest neighbours and their distance in Å.
Atoms (fractional coordinates):
Ni: 0.0000 0.3737 0.8737  1 Ni 2.37, 6 Nb 2.49-2.60, 2 Al 2.61
Ni: 0.0000 0.8737 0.6263  1 Ni 2.37, 6 Nb 2.49-2.60, 2 Al 2.61
Ni: 0.0000 0.6263 0.1263  1 Ni 2.37, 6 Nb 2.49-2.60, 2 Al 2.61
Ni: 0.0000 0.1263 0.3737  1 Ni 2.37, 6 Nb 2.49-2.60, 2 Al 2.61
Nb: 0.5000 0.1744 0.6744  6 Ni 2.49-2.60
Nb: 0.5000 0.6744 0.8256  6 Ni 2.49-2.60
Nb: 0.5000 0.8256 0.3256  6 Ni 2.49-2.60
Nb: 0.5000 0.3256 0.1744  6 Ni 2.49-2.60
Al: 0.0000 0.0000 0.0000  4 Ni 2.61
Al: 0.0000 0.5000 0.5000  4 Ni 2.61

Properties
Symmetry   P4/mbm, No. 127
E_tot   -7.89 eV per atom
Total magnetization   0.000 μB/f.u.
Formation energy from the elements   -282 meV per atom

***

No. 5
This record from Alexandria via LeMat-Bulk describes a relaxed structure of YTl2Hg. The functional is GGA-PBEsol.

Cell lengths 3.8054, 3.8054, 7.0441 Å; angles 90.00, 90.00, 90.00 degrees
Last column: nearest neighbours and their distance in Å.
Atoms (fractional coordinates):
Y: 0.0000 0.0000 0.5129  4 Hg 3.14, 5 Tl 3.25-3.37
Tl: 0.0000 0.0000 0.9911  4 Hg 3.21, 4 Tl 3.26, 1 Y 3.37
Tl: 0.5000 0.5000 0.2531  4 Y 3.25, 4 Tl 3.26, 2 Hg 3.45-3.59
Hg: 0.5000 0.5000 0.7429  4 Y 3.14, 5 Tl 3.21-3.45

Properties
Symmetry   P4mm, No. 99
E_tot   -3.42 eV per atom
Total magnetization   0.002 μB/f.u.
Formation energy from the elements   -258 meV per atom

***

No. 6
This record from Alexandria via LeMat-Bulk describes a relaxed structure of CuP2Ir. The functional is GGA-PBEsol.

Cell lengths 2.8104, 2.8104, 7.1815 Å; angles 90.00, 90.00, 90.00 degrees
Last column: nearest neighbours and their distance in Å.
Atoms (fractional coordinates):
Cu: 0.0000 0.0000 0.4914  4 P 2.43
Ir: 0.5000 0.5000 0.7624  4 P 2.40
P: 0.0000 0.0000 0.9487  4 Ir 2.40
P: 0.5000 0.5000 0.2975  4 Cu 2.43

Properties
Symmetry   P4mm, No. 99
E_tot   -6.37 eV per atom
Total magnetization   0.000 μB/f.u.
E above lowest polymorph   236 meV per atom
Formation energy from the elements   64 meV per atom

***

No. 7
This record from Alexandria via LeMat-Bulk describes a relaxed structure of Ca2RuCl. The functional is GGA-PBEsol.

Cell lengths 3.5284, 3.5284, 8.2631 Å; angles 77.67, 77.67, 60.00 degrees
Last column: nearest neighbours and their distance in Å.
Atoms (fractional coordinates):
Ru: 0.5000 0.5000 0.5000  6 Ca 2.79
Ca: 0.7540 0.7540 0.7379  3 Ru 2.79, 3 Cl 2.93
Ca: 0.2460 0.2460 0.2621  3 Ru 2.79, 3 Cl 2.93
Cl: 0.0000 0.0000 0.0000  6 Ca 2.93

Properties
Symmetry   R-3m, No. 166
E_tot   -4.68 eV per atom
Total magnetization   0.000 μB/f.u.
Formation energy without anion corrections   -567 meV per atom
E above lowest polymorph   53 meV per atom

***

No. 8
This record from Alexandria via LeMat-Bulk describes a relaxed structure of TePW2. The functional is GGA-PBEsol.

Cell lengths 3.1581, 4.2006, 5.0623 Å; angles 90.00, 90.00, 90.00 degrees
Last column: nearest neighbours and their distance in Å.
Atoms (fractional coordinates):
P: 0.5000 0.5000 0.0000  4 W 2.63
Te: 0.0000 0.5000 0.5000  4 W 2.63
W: 0.0000 0.0000 0.0000  4 P 2.63
W: 0.5000 0.0000 0.5000  4 Te 2.63

Properties
Symmetry   Pmmm, No. 47
E_tot   -8.34 eV per atom
Total magnetization   0.000 μB/f.u.
Formation energy without anion corrections   896 meV per atom
E above lowest polymorph   662 meV per atom